# CePtSe

CePtSe after structural relaxation (PBE, Alexandria).

Structure (CIF):
```
data_CePtSe
_chemical_formula_sum 'Ce2 Pt2 Se2'
_cell_length_a 6.4241
_cell_length_b 6.4241
_cell_length_c 5.5241
_cell_angle_alpha 90.00
_cell_angle_beta 90.00
_cell_angle_gamma 142.99
_symmetry_space_group_name_H-M 'P 1'
_symmetry_Int_Tables_number 1
_symmetry_space_group_name_Hall 'P 1'
loop_
_atom_site_label
_atom_site_type_symbol
_atom_site_fract_x
_atom_site_fract_y
_atom_site_fract_z
_atom_site_occupancy
Ce1 Ce 0.1258 0.8742 0.7500 1
Ce2 Ce 0.8742 0.1258 0.2500 1
Pt1 Pt 0.4724 0.5276 0.7500 1
Pt2 Pt 0.5276 0.4724 0.2500 1
Se1 Se 0.1930 0.8070 0.2500 1
Se2 Se 0.8070 0.1930 0.7500 1
```

ΔE_f (raw) = -1286 meV/atom

# MgBeCo2

MgBeCo2 after structural relaxation (PBE, Alexandria).

Structure (CIF):
```
data_MgBeCo2
_chemical_formula_sum 'Mg1 Be1 Co2'
_cell_length_a 2.5925
_cell_length_b 3.8186
_cell_length_c 4.9913
_cell_angle_alpha 90.00
_cell_angle_beta 104.41
_cell_angle_gamma 90.00
_symmetry_space_group_name_H-M 'P 1'
_symmetry_Int_Tables_number 1
_symmetry_space_group_name_Hall 'P 1'
loop_
_atom_site_label
_atom_site_type_symbol
_atom_site_fract_x
_atom_site_fract_y
_atom_site_fract_z
_atom_site_occupancy
Mg1 Mg 0.0000 0.0000 0.0000 1
Be1 Be 0.6978 0.5000 0.2794 1
Co1 Co 0.3009 0.5000 0.6876 1
Co2 Co 0.6049 0.0000 0.4855 1
```

ΔE_f = 0.57 eV per formula unit

# Ti2V2W

Ti2V2W after structural relaxation (PBE, Alexandria).

Structure (CIF):
```
data_Ti2V2W
_chemical_formula_sum 'Ti2 V2 W1'
_cell_length_a 7.2431
_cell_length_b 7.2431
_cell_length_c 7.2431
_cell_angle_alpha 152.48
_cell_angle_beta 152.48
_cell_angle_gamma 39.32
_symmetry_space_group_name_H-M 'P 1'
_symmetry_Int_Tables_number 1
_symmetry_space_group_name_Hall 'P 1'
loop_
_atom_site_label
_atom_site_type_symbol
_atom_site_fract_x
_atom_site_fract_y
_atom_site_fract_z
_atom_site_occupancy
Ti1 Ti 0.0976 0.0976 0.0000 1
Ti2 Ti 0.9024 0.9024 0.0000 1
V1 V 0.2500 0.7500 0.5000 1
V2 V 0.7500 0.2500 0.5000 1
W1 W 0.5000 0.5000 0.0000 1
```

ΔE_f = 2.76 eV per formula unit

# CaLa2Pd2

CaLa2Pd2 after structural relaxation (PBE, Alexandria).

Structure (CIF):
```
data_CaLa2Pd2
_chemical_formula_sum 'Ca1 La2 Pd2'
_cell_length_a 7.0492
_cell_length_b 7.0492
_cell_length_c 7.0492
_cell_angle_alpha 139.18
_cell_angle_beta 139.18
_cell_angle_gamma 59.10
_symmetry_space_group_name_H-M 'P 1'
_symmetry_Int_Tables_number 1
_symmetry_space_group_name_Hall 'P 1'
loop_
_atom_site_label
_atom_site_type_symbol
_atom_site_fract_x
_atom_site_fract_y
_atom_site_fract_z
_atom_site_occupancy
Ca1 Ca 0.0000 0.0000 0.0000 1
La1 La 0.2500 0.7500 0.5000 1
La2 La 0.7500 0.2500 0.5000 1
Pd1 Pd 0.3909 0.3909 0.0000 1
Pd2 Pd 0.6091 0.6091 0.0000 1
```

ΔE_f = -2.28 eV per formula unit

| no. | Fermi-level density of states (states/eV per cell) |
| --- | --- |
| 1 | 5.779 |
| 2 | 3.504 |
| 3 | 6.852 |
| 4 | 3.621 |